This record from Alexandria via LeMat-Bulk describes a relaxed structure of TaInMo2. The functional is PBE.

a b c (Å): 2.835 4.589 5.561
angles (deg): 90.00 102.36 90.00
Positions (direct):
Ta1 0.000 0.000 0.000
In1 0.691 0.500 0.265
Mo1 0.269 0.500 0.753
Mo2 0.482 0.000 0.536

Calculated values
For the density of states at the Fermi level, the calculation gives 2.14 states/eV/f.u. For the raw total energy, the calculation gives -8.886 eV/atom. For the calculated density, the calculation gives 11.459 g/cm3. The spin magnetization comes out at 0.00 μB/cell. As for the symmetry: Pm. For the energy of formation from the pure elements, the calculation gives 0.1768 eV per atom.